This record from the Alexandria database describes an optimized crystal structure of CeDy2Ho. The functional is PBE.

Lattice parameters (Å, degrees): 4.990 4.982 4.982 90.00 90.00 90.00
Fractional positions:
Ho (0.500, 0.500, 0.500)
Ce (0.500, 0.000, 0.000)
Dy (0.000, 0.000, 0.500)
Dy (0.000, 0.500, 0.000)

## Properties
Energy relative to the lowest polymorph listed for this composition: 10 meV per atom
SG: P4/mmm (123)
Theoretical density: 8.45 g/cm³
Fermi-level density of states: 6.56 states/eV per cell